Entry 1:
Here is a relaxed structure of SnWSeN2 from Alexandria via LeMat-Bulk. Energies are from PBE.

a b c (Å): 4.083 4.083 5.371
angles (deg): 90.00 90.00 90.00
Fractional coordinates of all 5 atoms:
Se  0.000  0.000  0.500
Sn  0.000  0.000  0.000
W  0.500  0.500  0.500
N  0.000  0.500  0.000
N  0.500  0.000  0.000

Summary:
D(E_F)   0.6549 states/eV/atom
Symmetry   P4/mmm (123)
Total moment   1.940 μB/f.u.
Energy relative to the elements, uncorrected   1.8632 eV per atom


Entry 2:
Here is a relaxed structure of SnWSe2N from Alexandria via LeMat-Bulk. Energies are from PBE.

a b c (Å): 5.160 5.160 3.846
angles (deg): 90.00 90.00 90.00
Fractional coordinates of all 5 atoms:
Se  0.000  0.500  0.000
Se  0.500  0.000  0.000
Sn  0.500  0.500  0.500
W  0.000  0.000  0.000
N  0.000  0.000  0.500

Summary:
D(E_F)   0.3259 states/eV/atom
Symmetry   P4/mmm (123)
Total moment   0.000 μB/f.u.
Energy relative to the elements, uncorrected   0.0191 eV per atom


- The lowest total moment belongs to which entry?
  SnWSe2N